First-principles (PBE+U) data for a relaxed DyV2BiO8 crystal, as listed in Alexandria.

extended XYZ file:
```
12
Lattice="5.817 0.000 0.000 -2.908 5.037 0.000 0.000 0.000 6.709" Properties=species:S:1:pos:R:3 pbc="T T T"
Dy 0.000 0.000 0.000
V 0.000 3.358 2.082
V 2.908 1.679 4.627
Bi 0.000 0.000 3.354
O 0.000 1.649 1.563
O -1.481 4.213 1.563
O 1.428 0.824 5.145
O 0.000 3.358 3.727
O 2.908 1.679 2.981
O 1.481 4.213 1.563
O 4.389 0.824 5.145
O 2.908 3.389 5.145
```

As for the magnetic moment: 0.00 μB/cell. The calculation puts the electronic total energy at -7.356 eV per atom. As for the symmetry: No. 164.